# 1
First-principles (PBE) data for a relaxed structure of Ac2CuSi3Ni4, as listed in Alexandria via LeMat-Bulk.

abc: 4.2099 4.2099 9.7368
angles: 90.00 90.00 90.00
Last column: nearest neighbours and their distance in Å.
Space group P-4m2 (No. 115)
One atom of each set of equivalent atoms:
Ac 0.0000 0.5000 0.2469 (multiplicity 2)  8 Ni 3.19-3.24, 2 Cu 3.20, 6 Si 3.20-3.26
Cu 0.5000 0.5000 0.0000 (multiplicity 1)  4 Ni 2.46
Si 0.0000 0.0000 0.0000 (multiplicity 1)  4 Ni 2.46
Si 0.0000 0.5000 0.6173 (multiplicity 2)  5 Ni 2.39-2.46
Ni 0.0000 0.0000 0.5000 (multiplicity 1)  4 Si 2.39
Ni 0.0000 0.5000 0.8698 (multiplicity 2)  2 Cu 2.46, 3 Si 2.46
Ni 0.5000 0.5000 0.5000 (multiplicity 1)  4 Si 2.39

Summary:
calculated total energy: -5.722 eV per atom
V: 172.57 Å³/cell
ΔE_f (raw): -0.552 eV per atom
D(E_F): 7.4 states/eV/f.u.

---

# 2
First-principles (PBE) data for a relaxed structure of AcCuNiSn2, as listed in Alexandria via LeMat-Bulk.

abc: 4.6074 4.6074 10.6663
angles: 90.00 90.00 90.00
Last column: nearest neighbours and their distance in Å.
Space group I-4m2 (No. 119)
One atom of each set of equivalent atoms:
Ac 0.0000 0.0000 0.0000 (multiplicity 2)  4 Ni 3.52, 4 Cu 3.52, 10 Sn 3.58-3.86
Cu 0.0000 0.5000 0.7500 (multiplicity 2)  4 Sn 2.59
Ni 0.0000 0.5000 0.2500 (multiplicity 2)  4 Sn 2.59
Sn 0.0000 0.0000 0.3616 (multiplicity 4)  2 Ni 2.59, 2 Cu 2.59

Summary:
calculated total energy: -4.856 eV per atom
V: 226.42 Å³/cell
D(E_F): 2.8 states/eV/f.u.
formation enthalpy at 0 K: -457 meV/atom

---

# 3
First-principles (PBE) data for a relaxed structure of Ac2Cu12Ni3Sn, as listed in Alexandria via LeMat-Bulk.

abc: 6.2086 6.2086 27.5400
angles: 90.00 90.00 120.00
Last column: nearest neighbours and their distance in Å.
Space group R-3m (No. 166, hexagonal axes)
One atom of each set of equivalent atoms:
Ac 0.0000 0.0000 0.1438 (multiplicity 6)  12 Cu 3.11-3.47
Cu 0.0510 0.5255 0.0883 (multiplicity 18)  1 Ni 2.45, 4 Cu 2.47-2.63, 1 Sn 2.64
Cu 0.0739 0.5370 0.6237 (multiplicity 18)  2 Ni 2.34, 4 Cu 2.42-2.47
Ni 0.0000 0.5000 0.0000 (multiplicity 9)  6 Cu 2.34-2.45
Sn 0.0000 0.0000 0.5000 (multiplicity 3)  6 Cu 2.64

Summary:
calculated total energy: -4.179 eV per atom
V: 919.36 Å³/cell
D(E_F): 9.3 states/eV/f.u.
formation enthalpy at 0 K: 194 meV/atom

---

# 4
First-principles (PBE) data for a relaxed structure of AcCuNiSn, as listed in Alexandria via LeMat-Bulk.

abc: 6.9793 6.9793 6.9793
angles: 90.00 90.00 90.00
Last column: nearest neighbours and their distance in Å.
Space group F-43m (No. 216)
One atom of each set of equivalent atoms:
Ac 0.0000 0.0000 0.0000 (multiplicity 4)  4 Cu 3.02, 4 Ni 3.02
Cu 0.2500 0.2500 0.7500 (multiplicity 4)  4 Sn 3.02, 4 Ac 3.02
Ni 0.2500 0.2500 0.2500 (multiplicity 4)  4 Ac 3.02, 4 Sn 3.02
Sn 0.0000 0.0000 0.5000 (multiplicity 4)  4 Ni 3.02, 4 Cu 3.02

Summary:
calculated total energy: -4.706 eV per atom
V: 339.97 Å³/cell
D(E_F): 4.4 states/eV/f.u.
formation enthalpy at 0 K: -209 meV/atom
ΔE to the lowest computed polymorph: 171 meV per atom

---

# 5
First-principles (PBE) data for a relaxed structure of AcCuNiSn, as listed in Alexandria via LeMat-Bulk.

abc: 4.4943 4.4943 15.4453
angles: 90.00 90.00 120.00
Last column: nearest neighbours and their distance in Å.
Space group R3m (No. 160, hexagonal axes)
One atom of each set of equivalent atoms:
Ac 0.0000 0.0000 0.0000 (multiplicity 3)  1 Ni 2.92, 1 Cu 3.10
Cu 0.0000 0.0000 0.2006 (multiplicity 3)  3 Sn 2.68, 3 Ni 2.74
Ni 0.0000 0.0000 0.8111 (multiplicity 3)  3 Sn 2.60, 3 Cu 2.74
Sn 0.0000 0.0000 0.4916 (multiplicity 3)  3 Ni 2.60, 3 Cu 2.68

Summary:
calculated total energy: -4.877 eV per atom
V: 270.18 Å³/cell
D(E_F): 2.3 states/eV/f.u.
formation enthalpy at 0 K: -380 meV/atom
ΔE to the lowest computed polymorph: 0 meV per atom

---

# 6
First-principles (PBE) data for a relaxed structure of AcTbCuNi, as listed in Alexandria via LeMat-Bulk.

abc: 7.2001 7.2001 7.2001
angles: 90.00 90.00 90.00
Last column: nearest neighbours and their distance in Å.
Space group F-43m (No. 216)
One atom of each set of equivalent atoms:
Ac 0.0000 0.0000 0.0000 (multiplicity 4)  4 Cu 3.12, 4 Ni 3.12
Tb 0.0000 0.0000 0.5000 (multiplicity 4)  4 Ni 3.12, 4 Cu 3.12
Cu 0.2500 0.2500 0.2500 (multiplicity 4)  4 Ac 3.12, 4 Tb 3.12
Ni 0.2500 0.2500 0.7500 (multiplicity 4)  4 Ac 3.12, 4 Tb 3.12

Summary:
calculated total energy: -4.802 eV per atom
V: 373.26 Å³/cell
D(E_F): 3.4 states/eV/f.u.
formation enthalpy at 0 K: -148 meV/atom